Tm8Al2Tl: optimized geometry, PBE-GGA.

a = 5.4359 Å, b = 8.2360 Å, c = 8.2360 Å
α = 116.28°, β = 100.93°, γ = 100.93°
Element x y z (fractional)
Al 0.0000 0.3051 0.6949
Tm 0.8875 0.6672 0.9108
Tm 0.7004 0.3953 0.3953
Tl 0.5000 0.0000 0.0000
Tm 0.1125 0.3328 0.0892
Tm 0.1125 0.0892 0.3328
Tm 0.2996 0.6047 0.6047
Al 0.0000 0.6949 0.3051
Tm 0.5000 0.2234 0.7766
Tm 0.8875 0.9108 0.6672
Tm 0.5000 0.7766 0.2234

Summary:
Symmetry   C2/m
Electronic total energy   -46.6 eV/f.u.